Record 1
The following is a DFT calculation (GGA-PBE) of a relaxed Si23Sn crystal.

spin magnetization = 0.0000 μB per atom
final energy = -252.51 eV for the cell shown
energy relative to the elements, uncorrected = 0.1031 eV/atom
V = 22.340 Å³/atom
SG = Pm-3n

```
data_Si23Sn
_cell_length_a 10.236
_cell_length_b 10.236
_cell_length_c 10.236
_cell_angle_alpha 90.00
_cell_angle_beta 90.00
_cell_angle_gamma 90.00
_space_group_name_H-M_alt 'P 1'
_space_group_IT_number 1
loop_
_space_group_symop_operation_xyz
'x,y,z'
loop_
_atom_site_label
_atom_site_type_symbol
_atom_site_fract_x
_atom_site_fract_y
_atom_site_fract_z
Si1 Si 0.000 0.117 0.308
Si2 Si 0.000 0.117 0.692
Si3 Si 0.000 0.250 0.500
Si4 Si 0.000 0.750 0.500
Si5 Si 0.000 0.883 0.308
Si6 Si 0.000 0.883 0.692
Si7 Si 0.117 0.308 0.000
Si8 Si 0.117 0.692 0.000
Si9 Si 0.183 0.183 0.183
Si10 Si 0.183 0.183 0.817
Si11 Si 0.183 0.817 0.183
Si12 Si 0.183 0.817 0.817
Si13 Si 0.192 0.383 0.500
Si14 Si 0.192 0.617 0.500
Si15 Si 0.250 0.500 0.000
Si16 Si 0.308 0.000 0.117
Si17 Si 0.308 0.000 0.883
Si18 Si 0.317 0.317 0.317
Si19 Si 0.317 0.317 0.683
Si20 Si 0.317 0.683 0.317
Si21 Si 0.317 0.683 0.683
Si22 Si 0.383 0.500 0.192
Si23 Si 0.383 0.500 0.808
Si24 Si 0.500 0.000 0.250
Si25 Si 0.500 0.000 0.750
Si26 Si 0.500 0.192 0.383
Si27 Si 0.500 0.192 0.617
Si28 Si 0.500 0.808 0.383
Si29 Si 0.500 0.808 0.617
Si30 Si 0.617 0.500 0.192
Si31 Si 0.617 0.500 0.808
Si32 Si 0.683 0.317 0.317
Si33 Si 0.683 0.317 0.683
Si34 Si 0.683 0.683 0.317
Si35 Si 0.683 0.683 0.683
Si36 Si 0.692 0.000 0.117
Si37 Si 0.692 0.000 0.883
Si38 Si 0.750 0.500 0.000
Si39 Si 0.808 0.383 0.500
Si40 Si 0.808 0.617 0.500
Si41 Si 0.817 0.183 0.183
Si42 Si 0.817 0.183 0.817
Si43 Si 0.817 0.817 0.183
Si44 Si 0.817 0.817 0.817
Si45 Si 0.883 0.308 0.000
Si46 Si 0.883 0.692 0.000
Sn1 Sn 0.000 0.000 0.000
Sn2 Sn 0.500 0.500 0.500
```


Record 2
The following is a DFT calculation (GGA-PBE) of a relaxed Si4Sn crystal.

spin magnetization = 0.0000 μB per atom
final energy = -17.80 eV for the cell shown
energy relative to the elements, uncorrected = 1.5784 eV/atom
V = 26.504 Å³/atom
SG = Pm-3m

```
data_Si4Sn
_cell_length_a 5.098
_cell_length_b 5.098
_cell_length_c 5.098
_cell_angle_alpha 90.00
_cell_angle_beta 90.00
_cell_angle_gamma 90.00
_space_group_name_H-M_alt 'P 1'
_space_group_IT_number 1
loop_
_space_group_symop_operation_xyz
'x,y,z'
loop_
_atom_site_label
_atom_site_type_symbol
_atom_site_fract_x
_atom_site_fract_y
_atom_site_fract_z
Si1 Si 0.000 0.000 0.000
Si2 Si 0.000 0.500 0.500
Si3 Si 0.500 0.000 0.500
Si4 Si 0.500 0.500 0.000
Sn1 Sn 0.500 0.500 0.500
```


Record 3
The following is a DFT calculation (GGA-PBE) of a relaxed SiSn3 crystal.

spin magnetization = 0.0000 μB per atom
final energy = -16.13 eV for the cell shown
energy relative to the elements, uncorrected = 0.3265 eV/atom
V = 24.678 Å³/atom
SG = Pm-3m

```
data_SiSn3
_cell_length_a 4.622
_cell_length_b 4.622
_cell_length_c 4.622
_cell_angle_alpha 90.00
_cell_angle_beta 90.00
_cell_angle_gamma 90.00
_space_group_name_H-M_alt 'P 1'
_space_group_IT_number 1
loop_
_space_group_symop_operation_xyz
'x,y,z'
loop_
_atom_site_label
_atom_site_type_symbol
_atom_site_fract_x
_atom_site_fract_y
_atom_site_fract_z
Si1 Si 0.000 0.000 0.000
Sn1 Sn 0.000 0.500 0.500
Sn2 Sn 0.500 0.000 0.500
Sn3 Sn 0.500 0.500 0.000
```


Record 4
The following is a DFT calculation (GGA-PBE) of a relaxed SrSiSn crystal.

spin magnetization = 0.0000 μB per atom
final energy = -49.14 eV for the cell shown
energy relative to the elements, uncorrected = -0.3925 eV/atom
V = 28.680 Å³/atom
SG = C2/m

```
data_SrSiSn
_cell_length_a 13.046
_cell_length_b 4.319
_cell_length_c 7.394
_cell_angle_alpha 90.00
_cell_angle_beta 124.31
_cell_angle_gamma 90.00
_space_group_name_H-M_alt 'P 1'
_space_group_IT_number 1
loop_
_space_group_symop_operation_xyz
'x,y,z'
loop_
_atom_site_label
_atom_site_type_symbol
_atom_site_fract_x
_atom_site_fract_y
_atom_site_fract_z
Sr1 Sr 0.235 0.000 0.250
Sr2 Sr 0.265 0.500 0.750
Sr3 Sr 0.735 0.500 0.250
Sr4 Sr 0.765 0.000 0.750
Si1 Si 0.060 0.000 0.422
Si2 Si 0.440 0.500 0.578
Si3 Si 0.560 0.500 0.422
Si4 Si 0.940 0.000 0.578
Sn1 Sn 0.039 0.500 0.846
Sn2 Sn 0.461 0.000 0.154
Sn3 Sn 0.539 0.000 0.846
Sn4 Sn 0.961 0.500 0.154
```